Material: SrHfAg3
Method: DFT, PBE-GGA
State: relaxed

Excess energy over the best structure of this formula in the dataset = 0.000 eV per atom
Size of the total moment = 0.00 μB per atom
Total energy = -3.59 eV/atom

a b c (Å): 5.309 5.309 5.309
angles (deg): 90.00 90.00 90.00
Space group Pm-3m (No. 221)
Unique sites:
Sr  0.000  0.000  0.000
Hf  0.500  0.500  0.500
Ag  0.000  0.500  0.500

=====

Material: SrHf2Ag2
Method: DFT, PBE-GGA
State: relaxed

Excess energy over the best structure of this formula in the dataset = 0.000 eV per atom
Size of the total moment = 0.00 μB per atom
Total energy = -5.23 eV/atom

a b c (Å): 8.727 8.727 3.056
angles (deg): 90.00 90.00 90.00
Space group P4/mbm (No. 127)
Unique sites:
Sr  0.000  0.000  0.000
Hf  0.121  0.379  0.000
Ag  0.174  0.674  0.500

=====

Material: SrHf3Ag
Method: DFT, PBE-GGA
State: relaxed

Excess energy over the best structure of this formula in the dataset = 1.195 eV per atom
Size of the total moment = 0.00 μB per atom
Total energy = -4.75 eV/atom

a b c (Å): 5.148 5.148 5.148
angles (deg): 90.00 90.00 90.00
Space group Pm-3m (No. 221)
Unique sites:
Sr  0.000  0.000  0.000
Hf  0.000  0.000  0.500
Ag  0.500  0.500  0.500

=====

Material: SrHfAg2
Method: DFT, PBE-GGA
State: relaxed

Excess energy over the best structure of this formula in the dataset = 0.000 eV per atom
Size of the total moment = 0.00 μB per atom
Total energy = -4.15 eV/atom

a b c (Å): 7.271 7.271 7.271
angles (deg): 90.00 90.00 90.00
Space group Fm-3m (No. 225)
Unique sites:
Sr  0.000  0.000  0.000
Hf  0.000  0.000  0.500
Ag  0.250  0.250  0.250

=====

Material: SrHf2Ag
Method: DFT, PBE-GGA
State: relaxed

Excess energy over the best structure of this formula in the dataset = 0.000 eV per atom
Size of the total moment = 0.00 μB per atom
Total energy = -5.48 eV/atom

a b c (Å): 4.233 4.233 23.404
angles (deg): 90.00 90.00 90.00
Space group I-42d (No. 122)
Unique sites:
Sr  0.000  0.000  0.000
Hf  0.233  0.250  0.625
Ag  0.000  0.000  0.500

=====

Material: SrHf3Ag
Method: DFT, PBE-GGA
State: relaxed

Excess energy over the best structure of this formula in the dataset = 0.000 eV per atom
Size of the total moment = 0.19 μB per atom
Total energy = -5.95 eV/atom

a b c (Å): 5.259 5.259 5.259
angles (deg): 90.00 90.00 90.00
Space group Pm-3m (No. 221)
Unique sites:
Sr  0.000  0.000  0.000
Hf  0.000  0.500  0.500
Ag  0.500  0.500  0.500

=====

Material: Sr2HfAg2
Method: DFT, PBE-GGA
State: relaxed

Excess energy over the best structure of this formula in the dataset = 0.207 eV per atom
Size of the total moment = 0.00 μB per atom
Total energy = -3.48 eV/atom

a b c (Å): 3.816 3.816 21.001
angles (deg): 90.00 90.00 90.00
Space group I4/mmm (No. 139)
Unique sites:
Sr  0.000  0.000  0.117
Hf  0.000  0.000  0.500
Ag  0.000  0.500  0.250

=====

Material: Sr2HfAgTe5
Method: DFT, PBE-GGA
State: relaxed

Energy relative to the elements, uncorrected = -0.982 eV per atom
Size of the total moment = 0.00 μB per atom
Total energy = -4.52 eV/atom

a b c (Å): 4.274 19.906 13.506
angles (deg): 90.00 90.00 90.00
Space group Cmc2_1 (No. 36)
Unique sites:
Sr  0.000  0.119  0.000
Sr  0.000  0.121  0.633
Hf  0.000  0.192  0.327
Ag  0.000  0.428  0.740
Te  0.000  0.049  0.363
Te  0.000  0.292  0.974
Te  0.000  0.295  0.675
Te  0.000  0.342  0.319
Te  0.000  0.498  0.068

=====

Material: SrYHf2Ag
Method: DFT, PBE-GGA
State: relaxed

Size of the total moment = 0.00 μB per atom
Total energy = -5.38 eV/atom

a b c (Å): 5.295 5.295 5.616
angles (deg): 90.00 90.00 90.00
Space group P4/mmm (No. 123)
Unique sites:
Sr  0.000  0.000  0.000
Y  0.500  0.500  0.000
Hf  0.000  0.500  0.500
Ag  0.000  0.000  0.500

=====

Material: HfTa2Ag
Method: DFT, PBE-GGA
State: relaxed

Excess energy over the best structure of this formula in the dataset = 0.196 eV per atom
Size of the total moment = 0.00 μB per atom
Total energy = -8.50 eV/atom

a b c (Å): 3.962 3.962 20.657
angles (deg): 90.00 90.00 90.00
Space group I-42d (No. 122)
Unique sites:
Hf  0.000  0.000  0.000
Ta  0.243  0.250  0.125
Ag  0.000  0.000  0.500

=====

Material: HfTa2Ag2
Method: DFT, PBE-GGA
State: relaxed

Excess energy over the best structure of this formula in the dataset = 0.034 eV per atom
Size of the total moment = 0.00 μB per atom
Total energy = -7.32 eV/atom

a b c (Å): 3.796 3.796 13.756
angles (deg): 90.00 90.00 90.00
Space group I4/mmm (No. 139)
Unique sites:
Hf  0.000  0.000  0.000
Ta  0.000  0.500  0.250
Ag  0.000  0.000  0.405

=====

Material: HfTa2Ag2
Method: DFT, PBE-GGA
State: relaxed

Excess energy over the best structure of this formula in the dataset = 0.000 eV per atom
Size of the total moment = 0.00 μB per atom
Total energy = -7.36 eV/atom

a b c (Å): 8.222 8.222 2.813
angles (deg): 90.00 90.00 90.00
Space group P4/mbm (No. 127)
Unique sites:
Hf  0.000  0.000  0.000
Ta  0.179  0.321  0.500
Ag  0.119  0.619  0.000

=====

Material: HfTaAg
Method: DFT, PBE-GGA
State: relaxed

Excess energy over the best structure of this formula in the dataset = 0.132 eV per atom
Size of the total moment = 0.00 μB per atom
Total energy = -8.14 eV/atom

a b c (Å): 2.931 2.931 13.396
angles (deg): 90.00 90.00 90.00
Space group I4mm (No. 107)
Unique sites:
Hf  0.000  0.000  0.000
Ta  0.000  0.000  0.663
Ag  0.000  0.000  0.327

=====

Material: HfTaAg
Method: DFT, PBE-GGA
State: relaxed

Excess energy over the best structure of this formula in the dataset = 0.000 eV per atom
Size of the total moment = 0.00 μB per atom
Total energy = -8.27 eV/atom

a b c (Å): 3.428 3.428 9.772
angles (deg): 90.00 90.00 90.00
Space group P4/nmm (No. 129, origin choice 2)
Unique sites:
Hf  0.250  0.250  0.247
Ta  0.250  0.250  0.577
Ag  0.250  0.250  0.921

=====

Material: HfTa2Ag
Method: DFT, PBE-GGA
State: relaxed

Excess energy over the best structure of this formula in the dataset = 0.000 eV per atom
Size of the total moment = 0.00 μB per atom
Total energy = -8.69 eV/atom

a b c (Å): 6.685 6.685 6.685
angles (deg): 90.00 90.00 90.00
Space group Fm-3m (No. 225)
Unique sites:
Hf  0.000  0.000  0.000
Ta  0.250  0.250  0.250
Ag  0.000  0.000  0.500

=====

Material: Hf2Ta2Ag
Method: DFT, PBE-GGA
State: relaxed

Size of the total moment = 0.00 μB per atom
Total energy = -8.96 eV/atom

a b c (Å): 7.297 7.297 3.876
angles (deg): 90.00 90.00 90.00
Space group P4/mbm (No. 127)
Unique sites:
Hf  0.168  0.332  0.000
Ta  0.128  0.628  0.500
Ag  0.000  0.000  0.500

=====

Material: HfZrTaAg
Method: DFT, PBE-GGA
State: relaxed

Size of the total moment = 0.00 μB per atom
Total energy = -8.16 eV/atom

a b c (Å): 6.823 6.823 6.823
angles (deg): 90.00 90.00 90.00
Space group F-43m (No. 216)
Unique sites:
Hf  0.000  0.000  0.000
Zr  0.000  0.000  0.500
Ta  0.250  0.250  0.250
Ag  0.250  0.250  0.750

=====

Material: Tb2HfAg
Method: DFT, PBE-GGA
State: relaxed

Excess energy over the best structure of this formula in the dataset = 0.000 eV per atom
Size of the total moment = 0.00 μB per atom
Total energy = -5.60 eV/atom

a b c (Å): 3.429 3.429 8.644
angles (deg): 90.00 90.00 90.00
Space group P4/mmm (No. 123)
Unique sites:
Tb  0.000  0.000  0.238
Hf  0.500  0.500  0.500
Ag  0.500  0.500  0.000

=====

Material: Tb2HfAg
Method: DFT, PBE-GGA
State: relaxed

Excess energy over the best structure of this formula in the dataset = 0.414 eV per atom
Size of the total moment = 0.00 μB per atom
Total energy = -5.18 eV/atom

a b c (Å): 3.2168 3.2168 34.5087
angles (deg): 90.00 90.00 120.00
Space group R-3m (No. 166, hexagonal axes)
Unique sites:
Tb  0.0000  0.0000  0.0922
Hf  0.0000  0.0000  0.0000
Ag  0.0000  0.0000  0.5000

=====

Material: TbHfAg
Method: DFT, PBE-GGA
State: relaxed

Size of the total moment = 0.00 μB per atom
Total energy = -5.85 eV/atom

a b c (Å): 3.366 3.366 12.456
angles (deg): 90.00 90.00 90.00
Space group I4mm (No. 107)
Unique sites:
Tb  0.000  0.000  0.000
Hf  0.000  0.000  0.320
Ag  0.000  0.000  0.679

=====

Material: HfTcAg3
Method: DFT, PBE-GGA
State: relaxed

Excess energy over the best structure of this formula in the dataset = 0.256 eV per atom
Size of the total moment = 0.81 μB per atom
Total energy = -3.96 eV/atom

a b c (Å): 5.135 5.135 5.135
angles (deg): 90.00 90.00 90.00
Space group Pm-3m (No. 221)
Unique sites:
Hf  0.000  0.000  0.000
Tc  0.500  0.500  0.500
Ag  0.000  0.000  0.500

=====

Material: HfTc3Ag
Method: DFT, PBE-GGA
State: relaxed

Excess energy over the best structure of this formula in the dataset = 0.240 eV per atom
Size of the total moment = 0.80 μB per atom
Total energy = -6.66 eV/atom

a b c (Å): 4.736 4.736 4.736
angles (deg): 90.00 90.00 90.00
Space group Pm-3m (No. 221)
Unique sites:
Hf  0.000  0.000  0.000
Tc  0.000  0.500  0.500
Ag  0.500  0.500  0.500

=====

Material: Hf3TcAg
Method: DFT, PBE-GGA
State: relaxed

Excess energy over the best structure of this formula in the dataset = 0.000 eV per atom
Size of the total moment = 0.00 μB per atom
Total energy = -8.06 eV/atom

a b c (Å): 4.981 4.981 4.981
angles (deg): 90.00 90.00 90.00
Space group Pm-3m (No. 221)
Unique sites:
Hf  0.000  0.000  0.500
Tc  0.000  0.000  0.000
Ag  0.500  0.500  0.500

=====

Material: HfTcAg3
Method: DFT, PBE-GGA
State: relaxed

Excess energy over the best structure of this formula in the dataset = 0.000 eV per atom
Size of the total moment = 0.00 μB per atom
Total energy = -4.21 eV/atom

a b c (Å): 4.901 4.901 4.901
angles (deg): 90.00 90.00 90.00
Space group Pm-3m (No. 221)
Unique sites:
Hf  0.000  0.000  0.000
Tc  0.500  0.500  0.500
Ag  0.000  0.500  0.500

=====

Material: HfTc3Ag
Method: DFT, PBE-GGA
State: relaxed

Excess energy over the best structure of this formula in the dataset = 0.000 eV per atom
Size of the total moment = 0.54 μB per atom
Total energy = -6.90 eV/atom

a b c (Å): 4.755 4.755 4.755
angles (deg): 90.00 90.00 90.00
Space group Pm-3m (No. 221)
Unique sites:
Hf  0.000  0.000  0.000
Tc  0.000  0.000  0.500
Ag  0.500  0.500  0.500

=====

Material: Hf3Tc2Ag
Method: DFT, PBE-GGA
State: relaxed

Size of the total moment = 0.00 μB per atom
Total energy = -9.30 eV/atom

a b c (Å): 3.288 3.288 10.218
angles (deg): 90.00 90.00 90.00
Space group P4/mmm (No. 123)
Unique sites:
Hf  0.000  0.000  0.000
Hf  0.000  0.000  0.310
Tc  0.500  0.500  0.165
Ag  0.500  0.500  0.500

=====

Material: HfThTcAg
Method: DFT, PBE-GGA
State: relaxed

Size of the total moment = 0.00 μB per atom
Total energy = -7.67 eV/atom

a b c (Å): 7.006 7.006 7.006
angles (deg): 90.00 90.00 90.00
Space group F-43m (No. 216)
Unique sites:
Hf  0.000  0.000  0.000
Th  0.000  0.000  0.500
Tc  0.250  0.250  0.250
Ag  0.250  0.250  0.750